[1]
DFT (PBE-GGA) results for crystalline LaCuBPt2 at its relaxed geometry.

POSCAR file:
```
LaCuBPt2
1.0
4.4771 0.0000 0.0000
0.0000 4.4771 0.0000
0.0000 0.0000 4.2109
La Cu B Pt
1 1 1 2
Direct
0.0000 0.0000 0.0000 La
0.5000 0.5000 0.0000 Cu
0.5000 0.5000 0.5000 B
0.0000 0.5000 0.5000 Pt
0.5000 0.0000 0.5000 Pt
```

Results
ΔH_f (0 K) (eV per atom): -0.513
Space group: No. 123
Uncorrected energy (eV/atom): -6.07
Spin magnetization (μB/atom): 0.000



[2]
DFT (PBE-GGA) results for crystalline Pm2Dy3PuS6 at its relaxed geometry.

POSCAR file:
```
Pm2Dy3PuS6
1.0
8.6357 -1.9663 0.0000
8.6357 1.9663 0.0000
-1.8835 0.0000 7.7346
Pm Dy Pu S
2 3 1 6
Direct
0.1652 0.1652 0.3310 Pm
0.8348 0.8348 0.6690 Pm
0.1667 0.1667 0.8358 Dy
0.5000 0.5000 0.5000 Dy
0.8333 0.8333 0.1642 Dy
0.5000 0.5000 0.0000 Pu
0.0030 0.0030 0.7484 S
0.3322 0.3322 0.9233 S
0.3354 0.3354 0.4096 S
0.6646 0.6646 0.5904 S
0.6678 0.6678 0.0767 S
0.9970 0.9970 0.2516 S
```

Results
Space group: No. 12
Uncorrected energy (eV/atom): -7.19
Spin magnetization (μB/atom): 0.491



[3]
DFT (PBE-GGA) results for crystalline CrHgSe2 at its relaxed geometry.

POSCAR file:
```
CrHgSe2
1.0
3.0116 -1.7333 0.0000
3.0116 1.7333 0.0000
-1.7643 0.0000 9.1169
Cr Hg Se
1 1 2
Direct
0.0000 0.0000 0.0000 Cr
0.5000 0.5000 0.5000 Hg
0.2854 0.2854 0.8373 Se
0.7146 0.7146 0.1627 Se
```

Results
Space group: No. 12
Uncorrected energy (eV/atom): -4.56
Spin magnetization (μB/atom): 0.533



[4]
DFT (PBE-GGA) results for crystalline Hf2TiBe9 at its relaxed geometry.

POSCAR file:
```
Hf2TiBe9
1.0
2.3103 1.3338 7.2421
-2.3103 1.3338 7.2421
0.0000 -2.6677 7.2421
Hf Ti Be
2 1 9
Direct
0.1391 0.1391 0.1391 Hf
0.8609 0.8609 0.8609 Hf
0.0000 0.0000 0.0000 Ti
0.0765 0.5795 0.5795 Be
0.3339 0.3339 0.3339 Be
0.4205 0.4205 0.9235 Be
0.4205 0.9235 0.4205 Be
0.5000 0.5000 0.5000 Be
0.5795 0.0765 0.5795 Be
0.5795 0.5795 0.0765 Be
0.6661 0.6661 0.6661 Be
0.9235 0.4205 0.4205 Be
```

Results
ΔH_f (0 K) (eV per atom): -0.139
Space group: No. 166
Uncorrected energy (eV/atom): -5.25
Spin magnetization (μB/atom): 0.165



[5]
DFT (PBE-GGA) results for crystalline Hg2POs at its relaxed geometry.

POSCAR file:
```
Hg2POs
1.0
-2.0879 2.0879 4.1241
2.0879 -2.0879 4.1241
2.0879 2.0879 -4.1241
Hg P Os
2 1 1
Direct
0.0000 0.0000 0.0000 Hg
0.7500 0.2500 0.5000 Hg
0.5000 0.5000 0.0000 P
0.2500 0.7500 0.5000 Os
```

Results
ΔH_f (0 K) (eV per atom): 0.963
Space group: No. 119
Uncorrected energy (eV/atom): -3.35
Spin magnetization (μB/atom): 0.000



[6]
DFT (PBE-GGA) results for crystalline NdSm3Dy2Er6 at its relaxed geometry.

POSCAR file:
```
NdSm3Dy2Er6
1.0
3.0836 -5.3378 0.0000
3.0836 5.3378 0.0000
-2.0473 0.0000 11.5545
Nd Sm Dy Er
1 3 2 6
Direct
0.0000 0.0000 0.0000 Nd
0.1668 0.8332 0.5000 Sm
0.5000 0.5000 0.5000 Sm
0.8332 0.1668 0.5000 Sm
0.3333 0.6667 0.0000 Dy
0.6667 0.3333 0.0000 Dy
0.0834 0.4172 0.2491 Er
0.2506 0.2506 0.7510 Er
0.4172 0.0834 0.2491 Er
0.5828 0.9166 0.7509 Er
0.7494 0.7494 0.2490 Er
0.9166 0.5828 0.7509 Er
```

Results
ΔH_f (0 K) (eV per atom): 0.017
Space group: No. 12
Uncorrected energy (eV/atom): -4.61
Spin magnetization (μB/atom): 0.000



[7]
DFT (PBE-GGA) results for crystalline HfUCu4 at its relaxed geometry.

POSCAR file:
```
HfUCu4
1.0
0.0000 3.5917 3.5917
3.5917 0.0000 3.5917
3.5917 3.5917 0.0000
Hf U Cu
1 1 4
Direct
0.0000 0.0000 0.0000 Hf
0.7500 0.7500 0.7500 U
0.3745 0.3745 0.3745 Cu
0.3745 0.3745 0.8765 Cu
0.3745 0.8765 0.3745 Cu
0.8765 0.3745 0.3745 Cu
```

Results
ΔH_f (0 K) (eV per atom): 0.080
Space group: No. 216
Uncorrected energy (eV/atom): -6.19
Spin magnetization (μB/atom): 0.240



[8]
DFT (PBE-GGA) results for crystalline Na12Tl2Au at its relaxed geometry.

POSCAR file:
```
Na12Tl2Au
1.0
6.6637 0.0000 0.0000
0.0000 6.6637 0.0000
0.0000 0.0000 23.8842
Na Tl Au
24 4 2
Direct
0.0000 0.0000 0.0777 Na
0.0000 0.0000 0.9223 Na
0.0000 0.5000 0.0777 Na
0.0000 0.5000 0.9223 Na
0.0693 0.5693 0.4322 Na
0.0693 0.9307 0.5678 Na
0.2500 0.2500 0.1851 Na
0.2500 0.2500 0.3148 Na
0.2500 0.2500 0.6852 Na
0.2500 0.2500 0.8149 Na
0.4307 0.5693 0.5678 Na
0.4307 0.9307 0.4322 Na
0.5000 0.0000 0.0777 Na
0.5000 0.0000 0.9223 Na
0.5000 0.5000 0.0777 Na
0.5000 0.5000 0.9223 Na
0.5693 0.0693 0.5678 Na
0.5693 0.4307 0.4322 Na
0.7500 0.7500 0.1851 Na
0.7500 0.7500 0.3148 Na
0.7500 0.7500 0.6852 Na
0.7500 0.7500 0.8149 Na
0.9307 0.0693 0.4322 Na
0.9307 0.4307 0.5678 Na
0.2500 0.7500 0.2068 Tl
0.2500 0.7500 0.7932 Tl
0.7500 0.2500 0.2068 Tl
0.7500 0.2500 0.7932 Tl
0.2500 0.7500 0.0000 Au
0.7500 0.2500 0.0000 Au
```

Results
ΔH_f (0 K) (eV per atom): 0.017
Space group: No. 125
Uncorrected energy (eV/atom): -1.57
Spin magnetization (μB/atom): 0.000



[9]
DFT (PBE-GGA) results for crystalline LiLaPa at its relaxed geometry.

POSCAR file:
```
LiLaPa
1.0
0.0000 5.5981 6.2133
2.2415 0.0000 6.2133
2.2415 5.5981 0.0000
Li La Pa
2 2 2
Direct
0.2500 0.2500 0.2500 Li
0.7500 0.7500 0.7500 Li
0.1430 0.1430 0.8570 La
0.8570 0.8570 0.1430 La
0.3300 0.6700 0.3300 Pa
0.6700 0.3300 0.6700 Pa
```

Results
ΔH_f (0 K) (eV per atom): 0.321
Space group: No. 69
Uncorrected energy (eV/atom): -5.13
Spin magnetization (μB/atom): 0.000



[10]
DFT (PBE-GGA) results for crystalline Li2PmCd5 at its relaxed geometry.

POSCAR file:
```
Li2PmCd5
1.0
-2.4349 2.4349 7.3490
2.4349 -2.4349 7.3490
2.4349 2.4349 -7.3490
Li Pm Cd
2 1 5
Direct
0.2468 0.2468 0.0000 Li
0.7532 0.7532 0.0000 Li
0.5000 0.5000 0.0000 Pm
0.0000 0.0000 0.0000 Cd
0.1438 0.6438 0.5000 Cd
0.3562 0.8562 0.5000 Cd
0.6438 0.1438 0.5000 Cd
0.8562 0.3562 0.5000 Cd
```

Results
ΔH_f (0 K) (eV per atom): -0.249
Space group: No. 139
Energy above the lowest structure with this stoichiometry (meV per atom): 0
Uncorrected energy (eV/atom): -1.89
Spin magnetization (μB/atom): 0.000



[11]
DFT (PBE-GGA) results for crystalline PmHo2CrN4 at its relaxed geometry.

POSCAR file:
```
PmHo2CrN4
1.0
1.6959 -5.7555 0.0000
1.6959 5.7555 0.0000
0.0000 0.0000 11.5754
Pm Ho Cr N
2 4 2 8
Direct
0.0979 0.9021 0.7500 Pm
0.9021 0.0979 0.2500 Pm
0.3692 0.6308 0.5431 Ho
0.3692 0.6308 0.9569 Ho
0.6308 0.3692 0.0431 Ho
0.6308 0.3692 0.4569 Ho
0.1654 0.8346 0.2500 Cr
0.8346 0.1654 0.7500 Cr
0.0000 0.0000 0.0000 N
0.0000 0.0000 0.5000 N
0.2651 0.7349 0.1274 N
0.2651 0.7349 0.3726 N
0.4243 0.5757 0.7500 N
0.5757 0.4243 0.2500 N
0.7349 0.2651 0.6274 N
0.7349 0.2651 0.8726 N
```

Results
Space group: No. 63
Uncorrected energy (eV/atom): -8.37
Spin magnetization (μB/atom): 0.216



[12]
DFT (PBE-GGA) results for crystalline LaInMo2 at its relaxed geometry.

POSCAR file:
```
LaInMo2
1.0
1.6715 -2.5600 0.0000
1.6715 2.5600 0.0000
0.0000 0.0000 9.9146
La In Mo
1 1 2
Direct
0.0000 0.0000 0.0000 La
0.5000 0.5000 0.3029 In
0.0000 0.0000 0.5475 Mo
0.5000 0.5000 0.7381 Mo
```

Results
ΔH_f (0 K) (eV per atom): 0.295
Space group: No. 35
Uncorrected energy (eV/atom): -7.04
Spin magnetization (μB/atom): 0.000



[13]
DFT (PBE-GGA) results for crystalline Fe2Rh at its relaxed geometry.

POSCAR file:
```
Fe2Rh
1.0
0.0000 2.8846 2.8846
2.8846 0.0000 2.8846
2.8846 2.8846 0.0000
Fe Rh
2 1
Direct
0.2500 0.2500 0.2500 Fe
0.7500 0.7500 0.7500 Fe
0.0000 0.0000 0.0000 Rh
```

Results
ΔH_f (0 K) (eV per atom): 0.519
Space group: No. 225
Uncorrected energy (eV/atom): -7.57
Spin magnetization (μB/atom): 2.305



[14]
DFT (PBE-GGA) results for crystalline La2AgSb4 at its relaxed geometry.

POSCAR file:
```
La2AgSb4
1.0
4.5308 0.0000 0.0000
0.0000 4.5308 0.0000
0.0000 0.0000 10.0185
La Ag Sb
2 1 4
Direct
0.0000 0.5000 0.2442 La
0.5000 0.0000 0.7558 La
0.5000 0.5000 0.0000 Ag
0.0000 0.0000 0.5000 Sb
0.0000 0.5000 0.8417 Sb
0.5000 0.0000 0.1583 Sb
0.5000 0.5000 0.5000 Sb
```

Results
Space group: No. 115
Uncorrected energy (eV/atom): -4.91
Spin magnetization (μB/atom): 0.000



[15]
DFT (PBE-GGA) results for crystalline Hf3Ta at its relaxed geometry.

POSCAR file:
```
Hf3Ta
1.0
3.0367 0.0000 0.0000
0.0000 5.0483 0.0000
0.0000 0.0000 5.5374
Hf Ta
3 1
Direct
0.0000 0.0000 0.0000 Hf
0.0000 0.5000 0.3026 Hf
0.5000 0.5000 0.7908 Hf
0.5000 0.0000 0.5095 Ta
```

Results
ΔH_f (0 K) (eV per atom): 0.120
Space group: No. 25
Energy above the lowest structure with this stoichiometry (meV per atom): 3
Uncorrected energy (eV/atom): -10.31
Spin magnetization (μB/atom): 0.000



[16]
DFT (PBE-GGA) results for crystalline Be2SiTe at its relaxed geometry.

POSCAR file:
```
Be2SiTe
1.0
3.4245 -1.8422 0.0000
3.4245 1.8422 0.0000
-1.8206 0.0000 5.2404
Be Si Te
2 1 1
Direct
0.0000 0.0000 0.0000 Be
0.6556 0.6556 0.9620 Be
0.2863 0.2863 0.8163 Si
0.6014 0.6014 0.3744 Te
```

Results
Space group: No. 8
Energy above the lowest structure with this stoichiometry (meV per atom): 0
Uncorrected energy (eV/atom): -3.75
Spin magnetization (μB/atom): 0.000



[17]
DFT (PBE-GGA) results for crystalline BeOs2Rh at its relaxed geometry.

POSCAR file:
```
BeOs2Rh
1.0
4.3910 -1.3530 0.0000
4.3910 1.3530 0.0000
-0.8054 0.0000 4.4887
Be Os Rh
1 2 1
Direct
0.0000 0.0000 0.0000 Be
0.2488 0.2488 0.7603 Os
0.7512 0.7512 0.2397 Os
0.5000 0.5000 0.5000 Rh
```

Results
ΔH_f (0 K) (eV per atom): 0.094
Space group: No. 12
Uncorrected energy (eV/atom): -8.29
Spin magnetization (μB/atom): 0.000



[18]
DFT (PBE-GGA) results for crystalline ThAsRh2 at its relaxed geometry.

POSCAR file:
```
ThAsRh2
1.0
7.4734 0.0000 0.0000
0.0000 6.9612 0.0000
0.0000 0.0000 5.7706
Th As Rh
4 4 8
Direct
0.0302 0.2500 0.1514 Th
0.4698 0.7500 0.6514 Th
0.5302 0.2500 0.3486 Th
0.9698 0.7500 0.8486 Th
0.1129 0.7500 0.3416 As
0.3871 0.2500 0.8416 As
0.6129 0.7500 0.1584 As
0.8871 0.2500 0.6584 As
0.1881 0.0452 0.5800 Rh
0.1881 0.4548 0.5800 Rh
0.3119 0.5452 0.0800 Rh
0.3119 0.9548 0.0800 Rh
0.6881 0.0452 0.9200 Rh
0.6881 0.4548 0.9200 Rh
0.8119 0.5452 0.4200 Rh
0.8119 0.9548 0.4200 Rh
```

Results
ΔH_f (0 K) (eV per atom): -0.943
Space group: No. 62
Energy above the lowest structure with this stoichiometry (meV per atom): 0
Uncorrected energy (eV/atom): -7.64
Spin magnetization (μB/atom): 0.000



[19]
DFT (PBE-GGA) results for crystalline BeAg2W at its relaxed geometry.

POSCAR file:
```
BeAg2W
1.0
-1.3702 2.2879 4.7367
1.3702 -2.2879 4.7367
1.3702 2.2879 -4.7367
Be Ag W
1 2 1
Direct
0.0000 0.0000 0.0000 Be
0.2141 0.7141 0.5000 Ag
0.7859 0.2859 0.5000 Ag
0.5000 0.5000 0.0000 W
```

Results
ΔH_f (0 K) (eV per atom): 0.561
Space group: No. 71
Uncorrected energy (eV/atom): -5.03
Spin magnetization (μB/atom): 0.000